The following is a DFT calculation (SCAN) of a crystal of CdPWS2 relaxed with PBEsol.

Summary:
- N(E_F): 2.77 states/eV per cell
- SG: P4/mmm (123)
- Total DFT energy (no corrections): -0.8891 Ha/atom

```
CdPWS2
1.0
4.760 0.000 0.000
0.000 4.760 0.000
0.000 0.000 4.750
Cd P W S
1 1 1 2
direct
0.000 0.000 0.000
0.000 0.000 0.500
0.500 0.500 0.500
0.000 0.500 0.000
0.500 0.000 0.000
```